[1]
A geometry-optimized SiPbI3 structure, computed with GGA-PBE.

a b c (Å): 5.6557 5.6557 5.6557
angles (deg): 90.00 90.00 90.00
With the nearest neighbours (Å) after each atom.
Sites, in units of the cell vectors:
Pb1 0.5000 0.5000 0.5000  12 I 4.00
I1 0.0000 0.0000 0.5000  2 Si 2.83
I2 0.5000 0.0000 0.0000  2 Si 2.83
I3 0.0000 0.5000 0.0000  2 Si 2.83
Si1 0.0000 0.0000 0.0000  6 I 2.83

Calculated values
Raw total energy, eV per atom: -2.660
Formation energy (no corrections), eV/atom: 0.096

***

[2]
A geometry-optimized SiPbI2 structure, computed with GGA-PBE.

a b c (Å): 5.4814 5.4814 10.6221
angles (deg): 75.05 75.05 90.00
With the nearest neighbours (Å) after each atom.
Sites, in units of the cell vectors:
I1 0.8750 0.8490 0.7500  2 Si 3.08, 2 Pb 3.21
I2 0.5990 0.1250 0.2500  2 Si 3.08, 2 Pb 3.21
I3 0.1510 0.6250 0.2500  2 Si 3.08, 2 Pb 3.21
I4 0.3750 0.4010 0.7500  2 Si 3.08, 2 Pb 3.21
Pb1 0.0000 0.0000 0.0000  4 I 3.21
Pb2 0.7500 0.2500 0.5000  4 I 3.21
Si1 0.2500 0.7500 0.5000  4 I 3.08
Si2 0.5000 0.5000 0.0000  4 I 3.08

Calculated values
Raw total energy, eV per atom: -2.697
Formation energy (no corrections), eV/atom: 0.361

***

[3]
A geometry-optimized SiPb2I structure, computed with GGA-PBE.

a b c (Å): 5.4984 5.4984 5.4984
angles (deg): 60.00 60.00 60.00
With the nearest neighbours (Å) after each atom.
Sites, in units of the cell vectors:
Si1 0.0000 0.0000 0.0000  8 Pb 3.37
Pb1 0.7500 0.7500 0.7500  4 Si 3.37, 4 I 3.37
Pb2 0.2500 0.2500 0.2500  4 I 3.37, 4 Si 3.37
I1 0.5000 0.5000 0.5000  8 Pb 3.37

Calculated values
Raw total energy, eV per atom: -3.228
Formation energy (no corrections), eV/atom: 0.370

***

[4]
A geometry-optimized SiPb2I structure, computed with GGA-PBE.

a b c (Å): 8.0137 8.0137 7.2694
angles (deg): 56.55 56.55 90.00
With the nearest neighbours (Å) after each atom.
Sites, in units of the cell vectors:
I1 0.0000 0.0000 0.0000  4 Pb 3.40
I2 0.7500 0.2500 0.5000  4 Pb 3.40
Pb1 0.1867 0.6250 0.2500  2 Si 2.75
Pb2 0.5633 0.1250 0.2500  2 Si 2.75
Pb3 0.8750 0.8133 0.7500  2 Si 2.75
Pb4 0.3750 0.4367 0.7500  2 Si 2.75
Si1 0.2500 0.7500 0.5000  4 Pb 2.75
Si2 0.5000 0.5000 0.0000  4 Pb 2.75

Calculated values
Raw total energy, eV per atom: -3.303
Formation energy (no corrections), eV/atom: 0.294

***

[5]
A geometry-optimized SiPbI2 structure, computed with GGA-PBE.

a b c (Å): 5.5431 5.5431 5.5431
angles (deg): 60.00 60.00 60.00
With the nearest neighbours (Å) after each atom.
Sites, in units of the cell vectors:
I1 0.2500 0.2500 0.2500  4 Pb 3.39, 4 Si 3.39
I2 0.7500 0.7500 0.7500  4 Pb 3.39, 4 Si 3.39
Pb1 0.5000 0.5000 0.5000  8 I 3.39
Si1 0.0000 0.0000 0.0000  8 I 3.39

Calculated values
Raw total energy, eV per atom: -2.687
Formation energy (no corrections), eV/atom: 0.371

***

[6]
A geometry-optimized SiTePbI2 structure, computed with GGA-PBE.

a b c (Å): 5.4659 5.4659 5.6477
angles (deg): 90.00 90.00 90.00
With the nearest neighbours (Å) after each atom.
Sites, in units of the cell vectors:
I1 0.0000 0.5000 0.0000  2 Si 2.73
I2 0.5000 0.0000 0.0000  2 Si 2.73
Te1 0.0000 0.0000 0.5000  2 Si 2.82
Si1 0.0000 0.0000 0.0000  4 I 2.73, 2 Te 2.82
Pb1 0.5000 0.5000 0.5000  4 Te 3.86, 8 I 3.93

Calculated values
Raw total energy, eV per atom: -2.975
Formation energy (no corrections), eV/atom: 0.100

***

[7]
A geometry-optimized SiTePbI2 structure, computed with GGA-PBE.

a b c (Å): 6.0771 6.0771 6.0545
angles (deg): 90.00 90.00 90.00
With the nearest neighbours (Å) after each atom.
Sites, in units of the cell vectors:
I1 0.5000 0.0000 0.0000  2 Pb 3.04
I2 0.0000 0.5000 0.0000  2 Pb 3.04
Pb1 0.0000 0.0000 0.0000  2 Te 3.03, 4 I 3.04
Te1 0.0000 0.0000 0.5000  2 Pb 3.03
Si1 0.5000 0.5000 0.5000  8 I 4.29, 4 Te 4.30

Calculated values
Raw total energy, eV per atom: -2.427
Formation energy (no corrections), eV/atom: 0.647

***

[8]
A geometry-optimized Sm2PbI structure, computed with GGA-PBE.

a b c (Å): 4.6087 4.6087 7.7130
angles (deg): 72.62 72.62 60.00
With the nearest neighbours (Å) after each atom.
Sites, in units of the cell vectors:
Pb1 0.0000 0.0000 0.0000  6 Sm 3.12
Sm1 0.2587 0.2587 0.2239  3 Pb 3.12, 3 I 3.33
Sm2 0.7413 0.7413 0.7761  3 Pb 3.12, 3 I 3.33
I1 0.5000 0.5000 0.5000  6 Sm 3.33

Calculated values
Raw total energy, eV per atom: -4.389
Formation energy (no corrections), eV/atom: -0.715

***

Look up the raw total energy of the seventh one.
-2.427 eV per atom

***

Which of these has the highest formation energy (no corrections)?
number 7

***

What is the formula in the fourth record?
SiPb2I

***

Which of these has the highest raw total energy?
number 7